No. 1
This record from OQMD describes crystalline LaZnInTe3 at its relaxed geometry. The functional is GGA-PBE.

Geometry as CIF:
```
data_LaZnInTe3
_chemical_formula_sum 'La4 Zn4 In4 Te12'
_space_group_name_H-M_alt 'P n m a'
_space_group_IT_number 62
_cell_length_a 12.072
_cell_length_b 4.474
_cell_length_c 15.214
_cell_angle_alpha 90.00
_cell_angle_beta 90.00
_cell_angle_gamma 90.00
loop_
_space_group_symop_operation_xyz
'x,y,z'
'-x,-y,-z'
'-x+1/2,-y,z+1/2'
'x+1/2,y,-z+1/2'
'x+1/2,-y+1/2,-z+1/2'
'-x+1/2,y+1/2,z+1/2'
'-x,y+1/2,-z'
'x,-y+1/2,z'
loop_
_atom_site_label
_atom_site_type_symbol
_atom_site_fract_x
_atom_site_fract_y
_atom_site_fract_z
_atom_site_occupancy
La1 La 0.013 0.250 0.237 1
Zn1 Zn 0.238 0.250 0.717 1
In1 In 0.213 0.750 0.506 1
Te1 Te 0.052 0.250 0.619 1
Te2 Te 0.096 0.750 0.100 1
Te3 Te 0.244 0.750 0.826 1
```

## Properties
- Electronic total energy: -93.54 eV/cell
- Total magnetic moment: 0.0004 μB/atom
- Excess energy over the best structure of this formula in the dataset: 0.000 eV per atom
- Calculated density: 5.67 g/cm3

No. 2
This record from OQMD describes crystalline LaTm2In3 at its relaxed geometry. The functional is GGA-PBE.

Geometry as CIF:
```
data_LaTm2In3
_chemical_formula_sum 'La1 Tm2 In3'
_space_group_name_H-M_alt 'P 4/m m m'
_space_group_IT_number 123
_space_group_name_Hall '-P 4 2'
_cell_length_a 3.755
_cell_length_b 3.755
_cell_length_c 11.571
_cell_angle_alpha 90.00
_cell_angle_beta 90.00
_cell_angle_gamma 90.00
loop_
_atom_site_label
_atom_site_type_symbol
_atom_site_fract_x
_atom_site_fract_y
_atom_site_fract_z
_atom_site_occupancy
La1 La 0.000 0.000 0.000 1
Tm1 Tm 0.000 0.000 0.342 1
In1 In 0.500 0.500 0.187 1
In2 In 0.500 0.500 0.500 1
```

## Properties
- Electronic total energy: -24.86 eV/cell
- Total magnetic moment: 0.0008 μB/atom
- Calculated density: 8.36 g/cm3

No. 3
This record from OQMD describes crystalline La5ZnIn4 at its relaxed geometry. The functional is GGA-PBE.

Geometry as CIF:
```
data_La5ZnIn4
_chemical_formula_sum 'La5 Zn1 In4'
_space_group_name_H-M_alt 'P 4/m m m'
_space_group_IT_number 123
_space_group_name_Hall '-P 4 2'
_cell_length_a 3.813
_cell_length_b 3.813
_cell_length_c 20.657
_cell_angle_alpha 90.00
_cell_angle_beta 90.00
_cell_angle_gamma 90.00
loop_
_atom_site_label
_atom_site_type_symbol
_atom_site_fract_x
_atom_site_fract_y
_atom_site_fract_z
_atom_site_occupancy
La1 La 0.000 0.000 0.000 1
La2 La 0.000 0.000 0.207 1
La3 La 0.000 0.000 0.413 1
Zn1 Zn 0.500 0.500 0.500 1
In1 In 0.500 0.500 0.104 1
In2 In 0.500 0.500 0.311 1
```

## Properties
- Electronic total energy: -41.60 eV/cell
- Total magnetic moment: 0.0003 μB/atom
- Calculated density: 6.74 g/cm3

No. 4
This record from OQMD describes crystalline La3ZnIn2 at its relaxed geometry. The functional is GGA-PBE.

Geometry as CIF:
```
data_La3ZnIn2
_chemical_formula_sum 'La3 Zn1 In2'
_space_group_name_H-M_alt 'P 4/m m m'
_space_group_IT_number 123
_space_group_name_Hall '-P 4 2'
_cell_length_a 3.826
_cell_length_b 3.826
_cell_length_c 12.057
_cell_angle_alpha 90.00
_cell_angle_beta 90.00
_cell_angle_gamma 90.00
loop_
_atom_site_label
_atom_site_type_symbol
_atom_site_fract_x
_atom_site_fract_y
_atom_site_fract_z
_atom_site_occupancy
La1 La 0.000 0.000 0.000 1
La2 La 0.000 0.000 0.351 1
Zn1 Zn 0.500 0.500 0.500 1
In1 In 0.500 0.500 0.177 1
```

## Properties
- Electronic total energy: -24.22 eV/cell
- Total magnetic moment: 0.0022 μB/atom
- Calculated density: 6.70 g/cm3

No. 5
This record from OQMD describes crystalline LiLu2In at its relaxed geometry. The functional is GGA-PBE.

Geometry as CIF:
```
data_LiLu2In
_chemical_formula_sum 'Li4 Lu8 In4'
_space_group_name_H-M_alt 'F -4 3 m'
_space_group_IT_number 216
_space_group_name_Hall 'F -4 2 3'
_cell_length_a 7.346
_cell_length_b 7.346
_cell_length_c 7.346
_cell_angle_alpha 90.00
_cell_angle_beta 90.00
_cell_angle_gamma 90.00
loop_
_atom_site_label
_atom_site_type_symbol
_atom_site_fract_x
_atom_site_fract_y
_atom_site_fract_z
_atom_site_occupancy
Li1 Li 0.000 0.000 0.000 1
Lu1 Lu 0.000 0.000 0.500 1
Lu2 Lu 0.250 0.250 0.250 1
In1 In 0.250 0.250 0.750 1
```

## Properties
- Electronic total energy: -55.62 eV/cell
- Total magnetic moment: 0.0007 μB/atom
- Calculated density: 7.90 g/cm3

No. 6
This record from OQMD describes crystalline LiLuIn at its relaxed geometry. The functional is GGA-PBE.

Geometry as CIF:
```
data_LiLuIn
_chemical_formula_sum 'Li4 Lu4 In4'
_space_group_name_H-M_alt 'F -4 3 m'
_space_group_IT_number 216
_space_group_name_Hall 'F -4 2 3'
_cell_length_a 6.924
_cell_length_b 6.924
_cell_length_c 6.924
_cell_angle_alpha 90.00
_cell_angle_beta 90.00
_cell_angle_gamma 90.00
loop_
_atom_site_label
_atom_site_type_symbol
_atom_site_fract_x
_atom_site_fract_y
_atom_site_fract_z
_atom_site_occupancy
Li1 Li 0.000 0.000 0.000 1
Lu1 Lu 0.000 0.000 0.500 1
In1 In 0.250 0.250 0.250 1
```

## Properties
- Electronic total energy: -36.18 eV/cell
- Total magnetic moment: 0.3332 μB/atom
- Calculated density: 5.94 g/cm3